{"formula": "CaVSi4H8O15", "functional": "PBE+U", "state": "relaxed", "lattice": [[-5.3534, -3.2520, -7.1284], [3.6408, -9.1360, 1.4336], [-10.4299, -2.7318, 9.0791]], "species": ["O", "O", "O", "O", "O", "O", "O", "O", "O", "O", "O", "O", "O", "O", "O", "O", "O", "O", "O", "O", "O", "O", "O", "O", "O", "O", "O", "O", "O", "O", "O", "O", "O", "O", "O", "O", "O", "O", "O", "O", "O", "O", "O", "O", "O", "O", "O", "O", "O", "O", "O", "O", "O", "O", "O", "O", "O", "O", "O", "O", "Ca", "Ca", "Ca", "Ca", "H", "H", "H", "H", "H", "H", "H", "H", "H", "H", "H", "H", "H", "H", "H", "H", "H", "H", "H", "H", "H", "H", "H", "H", "H", "H", "H", "H", "H", "H", "H", "H", "Si", "Si", "Si", "Si", "Si", "Si", "Si", "Si", "Si", "Si", "Si", "Si", "Si", "Si", "Si", "Si", "V", "V", "V", "V"], "fractional_positions": [[0.7085, 0.5615, 0.9865], [0.0528, 0.1610, 0.9942], [0.5528, 0.3390, 0.9942], [0.2085, 0.9385, 0.5135], [0.6976, 0.2252, 0.7500], [0.6883, 0.4197, 0.1526], [0.5890, 0.6964, 0.6579], [0.8556, 0.6585, 0.7500], [0.3024, 0.7748, 0.2500], [0.9472, 0.8390, 0.4942], [0.3327, 0.1738, 0.0014], [0.3117, 0.5803, 0.6526], [0.3327, 0.1738, 0.4986], [0.8117, 0.9197, 0.6526], [0.9110, 0.1964, 0.1579], [0.0282, 0.4325, 0.8641], [0.5282, 0.0675, 0.8641], [0.1673, 0.6738, 0.9986], [0.0528, 0.1610, 0.5058], [0.5365, 0.4404, 0.7500], [0.4110, 0.3036, 0.1579], [0.0890, 0.8036, 0.6579], [0.9718, 0.5675, 0.3641], [0.1444, 0.3415, 0.2500], [0.9110, 0.1964, 0.3421], [0.2915, 0.4385, 0.0135], [0.0365, 0.0596, 0.7500], [0.6673, 0.8262, 0.9986], [0.3556, 0.8415, 0.7500], [0.5890, 0.6964, 0.8421], [0.6673, 0.8262, 0.5014], [0.9472, 0.8390, 0.0058], [0.9635, 0.9404, 0.2500], [0.0282, 0.4325, 0.6359], [0.6444, 0.1585, 0.2500], [0.2085, 0.9385, 0.9865], [0.4635, 0.5596, 0.2500], [0.1883, 0.0803, 0.1526], [0.1673, 0.6738, 0.5014], [0.7915, 0.0615, 0.0135], [0.7915, 0.0615, 0.4865], [0.1883, 0.0803, 0.3474], [0.1976, 0.2748, 0.7500], [0.0890, 0.8036, 0.8421], [0.8024, 0.7252, 0.2500], [0.4472, 0.6610, 0.4942], [0.4110, 0.3036, 0.3421], [0.3117, 0.5803, 0.8474], [0.8117, 0.9197, 0.8474], [0.5282, 0.0675, 0.6359], [0.7085, 0.5615, 0.5135], [0.5528, 0.3390, 0.5058], [0.6883, 0.4197, 0.3474], [0.4718, 0.9325, 0.3641], [0.2915, 0.4385, 0.4865], [0.4718, 0.9325, 0.1359], [0.4472, 0.6610, 0.0058], [0.9718, 0.5675, 0.1359], [0.8327, 0.3262, 0.0014], [0.8327, 0.3262, 0.4986], [0.1040, 0.5924, 0.7500], [0.3960, 0.0924, 0.2500], [0.6040, 0.9076, 0.7500], [0.8960, 0.4076, 0.2500], [0.9114, 0.6458, 0.1496], [0.2110, 0.3449, 0.3036], [0.4594, 0.0949, 0.5877], [0.2991, 0.2605, 0.7500], [0.5406, 0.9051, 0.0877], [0.3489, 0.6843, 0.2500], [0.7009, 0.7395, 0.2500], [0.0406, 0.5949, 0.0877], [0.2890, 0.8449, 0.8036], [0.2009, 0.7605, 0.2500], [0.7110, 0.1551, 0.3036], [0.7991, 0.2395, 0.7500], [0.7110, 0.1551, 0.1964], [0.7890, 0.6551, 0.6964], [0.4114, 0.8542, 0.3504], [0.0886, 0.3542, 0.8504], [0.9594, 0.4051, 0.5877], [0.1511, 0.1843, 0.7500], [0.2110, 0.3449, 0.1964], [0.6511, 0.3157, 0.7500], [0.9114, 0.6458, 0.3504], [0.4594, 0.0949, 0.9123], [0.2890, 0.8449, 0.6964], [0.9594, 0.4051, 0.9123], [0.0886, 0.3542, 0.6496], [0.5886, 0.1458, 0.8504], [0.5886, 0.1458, 0.6496], [0.7890, 0.6551, 0.8036], [0.5406, 0.9051, 0.4123], [0.8489, 0.8157, 0.2500], [0.4114, 0.8542, 0.1496], [0.0406, 0.5949, 0.4123], [0.1943, 0.0860, 0.0377], [0.3057, 0.5860, 0.9623], [0.8984, 0.1842, 0.0435], [0.3057, 0.5860, 0.5377], [0.1016, 0.8158, 0.9565], [0.6943, 0.4140, 0.0377], [0.1016, 0.8158, 0.5435], [0.6943, 0.4140, 0.4623], [0.6016, 0.6842, 0.5435], [0.6016, 0.6842, 0.9565], [0.8057, 0.9140, 0.9623], [0.8057, 0.9140, 0.5377], [0.3984, 0.3158, 0.4565], [0.1943, 0.0860, 0.4623], [0.3984, 0.3158, 0.0435], [0.8984, 0.1842, 0.4565], [0.5331, 0.4078, 0.2500], [0.0331, 0.0922, 0.2500], [0.4669, 0.5922, 0.7500], [0.9669, 0.9078, 0.7500]], "e_tot_ev_per_atom": -6.58, "space_group": "Pnma (62)", "volume_a3_per_atom": 11.5}